Computed, not measured: crystalline LaNi3W at its relaxed geometry at the GGA-PBE level of DFT.

a b c (Å): 4.6252 4.6252 4.6252
angles (deg): 90.00 90.00 90.00
Closest atoms and distances in Å follow each position.
Sites, in units of the cell vectors:
La 0.0000 0.0000 0.0000  12 Ni 3.27
Ni 0.0000 0.5000 0.5000  2 W 2.31
Ni 0.5000 0.0000 0.5000  2 W 2.31
Ni 0.5000 0.5000 0.0000  2 W 2.31
W 0.5000 0.5000 0.5000  6 Ni 2.31

Properties
**Relative energy among the computed polymorphs**: 0 meV/atom
**Calculated total energy**: -6.5824 eV/atom
**Space-group type**: Pm-3m (221)
**Volume**: 99 Å³/f.u.
**DFT formation energy**: 0.463 eV per atom

***

Computed, not measured: crystalline La4NiW at its relaxed geometry at the GGA-PBE level of DFT.

a b c (Å): 6.1727 6.1727 6.1727
angles (deg): 60.00 60.00 60.00
Closest atoms and distances in Å follow each position.
Sites, in units of the cell vectors:
La 0.1253 0.1253 0.1253  6 La 3.08-3.09
La 0.1253 0.1253 0.6241  6 La 3.08-3.09
La 0.1253 0.6241 0.1253  6 La 3.08-3.09
La 0.6241 0.1253 0.1253  6 La 3.08-3.09
Ni 0.7500 0.7500 0.7500  12 La 3.62, 4 W 3.78
W 0.5000 0.5000 0.5000  12 La 3.62, 4 Ni 3.78

Properties
**Calculated total energy**: -5.2337 eV/atom
**Space-group type**: F-43m (216)
**Volume**: 166 Å³/f.u.
**DFT formation energy**: 1.174 eV per atom